(one)
# LiNbGeO5

An optimized crystal structure of LiNbGeO5 (PBE, Alexandria).

Cell: 6.388 9.253 7.482 Å, 90.00 114.42 90.00°
Space group C2/c (No. 15)
Unique sites:
Li (0.000, 0.207, 0.250)
Nb (0.000, 0.500, 0.000)
Ge (0.000, 0.201, 0.750)
O (0.000, 0.425, 0.250)
O (0.146, 0.311, 0.641)
O (0.192, 0.086, 0.932)

Values from the calculation:
D(E_F) in states/eV/f.u.: 0.000
Magnetization in μB/cell: 0.00

***

(two)
# LiNbGeO5

An optimized crystal structure of LiNbGeO5 (PBE, Alexandria).

Cell: 7.918 6.790 7.637 Å, 90.00 90.00 90.00°
Space group Pnma (No. 62)
Unique sites:
Li (0.000, 0.000, 0.000)
Nb (0.163, 0.250, 0.274)
Ge (0.131, 0.750, 0.369)
O (0.055, 0.250, 0.500)
O (0.115, 0.750, 0.840)
O (0.124, 0.541, 0.234)
O (0.186, 0.250, 0.002)

Values from the calculation:
D(E_F) in states/eV/f.u.: 0.000
Magnetization in μB/cell: 0.00

***

Stability check: which of them is most stable? (two).

***

(one)
# LiNi6Ge4

An optimized crystal structure of LiNi6Ge4 (PBE, Alexandria).

Cell: 6.174 6.174 8.479 Å, 90.00 90.00 90.00°
Space group I-42m (No. 121)
Unique sites:
Li (0.000, 0.000, 0.000)
Ni (0.000, 0.500, 0.000)
Ni (0.150, 0.150, 0.602)
Ge (0.217, 0.217, 0.330)

Values from the calculation:
D(E_F) in states/eV/f.u.: 8.570
Magnetization in μB/cell: 0.00

***

(two)
# LiNi6Ge4

An optimized crystal structure of LiNi6Ge4 (PBE, Alexandria).

Cell: 6.9207 6.9207 3.5332 Å, 90.00 90.00 120.00°
Space group P-6m2 (No. 187)
Unique sites:
Li (0.0000, 0.0000, 0.0000)
Ni (0.2033, 0.4066, 0.5000)
Ni (0.5365, 0.0731, 0.0000)
Ge (0.3333, 0.6667, 0.0000)
Ge (0.3643, 0.1821, 0.5000)

Values from the calculation:
D(E_F) in states/eV/f.u.: 3.094
Magnetization in μB/cell: 0.00

***

Stability check: which of them is most stable? (two).

***

(one)
# LiNi2Ge2

An optimized crystal structure of LiNi2Ge2 (PBE, Alexandria).

Cell: 7.021 7.021 2.754 Å, 90.00 90.00 90.00°
Space group P4/mbm (No. 127)
Unique sites:
Li (0.000, 0.000, 0.000)
Ni (0.132, 0.368, 0.000)
Ge (0.164, 0.664, 0.500)

Values from the calculation:
D(E_F) in states/eV/f.u.: 3.731
Magnetization in μB/cell: 0.00

***

(two)
# LiNi2Ge2

An optimized crystal structure of LiNi2Ge2 (PBE, Alexandria).

Cell: 4.131 4.131 9.271 Å, 90.00 90.00 90.00°
Space group I4/mmm (No. 139)
Unique sites:
Li (0.000, 0.000, 0.000)
Ni (0.000, 0.000, 0.375)
Ge (0.000, 0.500, 0.250)

Values from the calculation:
D(E_F) in states/eV/f.u.: 2.176
Magnetization in μB/cell: 0.00

***

(three)
# LiNi2Ge2

An optimized crystal structure of LiNi2Ge2 (PBE, Alexandria).

Cell: 5.072 3.979 6.692 Å, 90.00 90.00 90.00°
Space group Pmma (No. 51)
Unique sites:
Li (0.000, 0.000, 0.000)
Ni (0.000, 0.500, 0.500)
Ni (0.250, 0.500, 0.164)
Ge (0.250, 0.000, 0.375)
Ge (0.250, 0.500, 0.809)

Values from the calculation:
D(E_F) in states/eV/f.u.: 2.593
Magnetization in μB/cell: 0.00

***

Stability check: which of them is most stable? (one).

***

(one)
# Li2Ni3Ge2

An optimized crystal structure of Li2Ni3Ge2 (PBE, Alexandria).

Cell: 7.178 7.178 7.178 Å, 90.00 90.00 90.00°
Space group I2_13 (No. 199)
Unique sites:
Li (0.083, 0.417, 0.583)
Ni (0.000, 0.250, 0.966)
Ge (0.221, 0.221, 0.221)

Values from the calculation:
D(E_F) in states/eV/f.u.: 3.696
Magnetization in μB/cell: 0.00

***

(two)
# Li2Ni3Ge2

An optimized crystal structure of Li2Ni3Ge2 (PBE, Alexandria).

Cell: 4.013 4.029 6.831 Å, 106.66 90.40 119.56°
Space group P-1 (No. 2)
Unique sites:
Li (0.136, 0.273, 0.409)
Ni (0.000, 0.000, 0.000)
Ni (0.278, 0.556, 0.834)
Ge (0.406, 0.813, 0.216)

Values from the calculation:
D(E_F) in states/eV/f.u.: 3.680
Magnetization in μB/cell: 0.00

***

Stability check: which of them is most stable? (two).

***

(one)
# LiNi3Ge2

An optimized crystal structure of LiNi3Ge2 (PBE, Alexandria).

Cell: 16.677 3.844 8.389 Å, 90.00 116.22 90.00°
Space group C2/m (No. 12)
Unique sites:
Li (0.000, 0.000, 0.000)
Li (0.132, 0.000, 0.715)
Ni (0.000, 0.500, 0.500)
Ni (0.042, 0.000, 0.343)
Ni (0.109, 0.500, 0.169)
Ni (0.197, 0.500, 0.979)
Ni (0.202, 0.000, 0.409)
Ge (0.040, 0.500, 0.823)
Ge (0.141, 0.500, 0.484)
Ge (0.195, 0.000, 0.132)

Values from the calculation:
D(E_F) in states/eV/f.u.: 3.728
Magnetization in μB/cell: 0.00

***

(two)
# LiNi3Ge2

An optimized crystal structure of LiNi3Ge2 (PBE, Alexandria).

Cell: 5.094 8.789 3.778 Å, 90.00 90.00 90.00°
Space group Cmmm (No. 65)
Unique sites:
Li (0.000, 0.000, 0.000)
Ni (0.000, 0.500, 0.500)
Ni (0.250, 0.250, 0.500)
Ge (0.000, 0.333, 0.000)

Values from the calculation:
D(E_F) in states/eV/f.u.: 3.592
Magnetization in μB/cell: 0.00

***

Stability check: which of them is most stable? (one).

***

(one)
# LiNiGe2

An optimized crystal structure of LiNiGe2 (PBE, Alexandria).

Cell: 2.9624 2.9624 25.9379 Å, 90.00 90.00 120.00°
Space group R-3m (No. 166, hexagonal axes)
Unique sites:
Li (0.0000, 0.0000, 0.0000)
Ni (0.0000, 0.0000, 0.5000)
Ge (0.0000, 0.0000, 0.0972)

Values from the calculation:
D(E_F) in states/eV/f.u.: 2.075
Magnetization in μB/cell: 0.00

***

(two)
# LiNiGe2

An optimized crystal structure of LiNiGe2 (PBE, Alexandria).

Cell: 6.067 6.067 6.067 Å, 90.00 90.00 90.00°
Space group Fm-3m (No. 225)
Unique sites:
Li (0.000, 0.000, 0.000)
Ni (0.000, 0.000, 0.500)
Ge (0.250, 0.250, 0.250)

Values from the calculation:
D(E_F) in states/eV/f.u.: 1.999
Magnetization in μB/cell: 0.00

***

Stability check: which of them is most stable? (two).

***

(one)
# LiNiGe2

An optimized crystal structure of LiNiGe2 (PBE, Alexandria).

Cell: 3.891 3.891 3.715 Å, 90.00 90.00 90.00°
Space group P4/mmm (No. 123)
Unique sites:
Li (0.000, 0.000, 0.000)
Ni (0.500, 0.500, 0.000)
Ge (0.000, 0.500, 0.500)

Values from the calculation:
D(E_F) in states/eV/f.u.: 2.712
Magnetization in μB/cell: 0.00

***

(two)
# LiNiGe2

An optimized crystal structure of LiNiGe2 (PBE, Alexandria).

Cell: 4.247 8.512 14.681 Å, 90.00 90.00 90.00°
Space group Immm (No. 71)
Unique sites:
Li (0.000, 0.000, 0.201)
Li (0.000, 0.207, 0.000)
Ni (0.000, 0.255, 0.347)
Ge (0.000, 0.000, 0.413)
Ge (0.000, 0.346, 0.190)
Ge (0.000, 0.500, 0.417)

Values from the calculation:
D(E_F) in states/eV/f.u.: 1.543
Magnetization in μB/cell: 0.00

***

Stability check: which of them is most stable? (two).

***

(one)
# LiNiGe3

An optimized crystal structure of LiNiGe3 (PBE, Alexandria).

Cell: 4.640 4.640 4.640 Å, 90.00 90.00 90.00°
Space group Pm-3m (No. 221)
Unique sites:
Li (0.000, 0.000, 0.000)
Ni (0.500, 0.500, 0.500)
Ge (0.000, 0.500, 0.500)

Values from the calculation:
D(E_F) in states/eV/f.u.: 3.059
Magnetization in μB/cell: 0.00

***

(two)
# LiNiGe3

An optimized crystal structure of LiNiGe3 (PBE, Alexandria).

Cell: 4.443 4.443 4.443 Å, 90.00 90.00 90.00°
Space group Pm-3m (No. 221)
Unique sites:
Li (0.000, 0.000, 0.000)
Ni (0.500, 0.500, 0.500)
Ge (0.000, 0.000, 0.500)

Values from the calculation:
D(E_F) in states/eV/f.u.: 3.204
Magnetization in μB/cell: 0.00

***

Stability check: which of them is most stable? (one).

***

(one)
# Li3NiGe

An optimized crystal structure of Li3NiGe (PBE, Alexandria).

Cell: 4.408 4.408 4.408 Å, 90.00 90.00 90.00°
Space group Pm-3m (No. 221)
Unique sites:
Li (0.000, 0.000, 0.500)
Ni (0.000, 0.000, 0.000)
Ge (0.500, 0.500, 0.500)

Values from the calculation:
D(E_F) in states/eV/f.u.: 2.575
Magnetization in μB/cell: 0.00

***

(two)
# Li3NiGe

An optimized crystal structure of Li3NiGe (PBE, Alexandria).

Cell: 9.057 6.531 5.376 Å, 90.00 90.00 90.00°
Space group Ima2 (No. 46)
Unique sites:
Li (0.012, 0.249, 0.000)
Li (0.250, 0.063, 0.748)
Ni (0.250, 0.750, 0.498)
Ge (0.250, 0.038, 0.248)

Values from the calculation:
D(E_F) in states/eV/f.u.: 2.055
Magnetization in μB/cell: 0.00

***

Stability check: which of them is most stable? (two).

***

(one)
# Li3Ni2Ge2

An optimized crystal structure of Li3Ni2Ge2 (PBE, Alexandria).

Cell: 4.0933 4.0933 18.8020 Å, 90.00 90.00 120.00°
Space group R-3m (No. 166, hexagonal axes)
Unique sites:
Li (0.0000, 0.0000, 0.0000)
Li (0.0000, 0.0000, 0.1419)
Ni (0.0000, 0.0000, 0.2832)
Ge (0.0000, 0.0000, 0.4119)

Values from the calculation:
D(E_F) in states/eV/f.u.: 2.926
Magnetization in μB/cell: 0.00

***

(two)
# Li3Ni2Ge2

An optimized crystal structure of Li3Ni2Ge2 (PBE, Alexandria).

Cell: 3.898 2.640 9.570 Å, 90.00 101.76 90.00°
Space group P2/m (No. 10)
Unique sites:
Li (0.000, 0.000, 0.000)
Li (0.287, 0.000, 0.574)
Ni (0.130, 0.000, 0.259)
Ge (0.413, 0.500, 0.826)

Values from the calculation:
D(E_F) in states/eV/f.u.: 2.711
Magnetization in μB/cell: 0.00

***

Stability check: which of them is most stable? (one).

***

(one)
# Li3GeO

An optimized crystal structure of Li3GeO (PBE, Alexandria).

Cell: 3.948 3.948 3.948 Å, 90.00 90.00 90.00°
Space group Pm-3m (No. 221)
Unique sites:
Li (0.000, 0.000, 0.500)
Ge (0.500, 0.500, 0.500)
O (0.000, 0.000, 0.000)

Values from the calculation:
D(E_F) in states/eV/f.u.: 2.086
Magnetization in μB/cell: 0.00

***

(two)
# Li3GeO

An optimized crystal structure of Li3GeO (PBE, Alexandria).

Cell: 4.845 4.845 4.845 Å, 90.00 90.00 90.00°
Space group Pm-3m (No. 221)
Unique sites:
Li (0.000, 0.000, 0.500)
Ge (0.000, 0.000, 0.000)
O (0.500, 0.500, 0.500)

Values from the calculation:
D(E_F) in states/eV/f.u.: 1.754
Magnetization in μB/cell: 3.00

***

Stability check: which of them is most stable? (one).